The following is a DFT calculation (PBE) of an optimized crystal structure of ZrFeP2S.

Values from the calculation:
**Total magnetization**: 0.6743 μB/atom
**Formation energy without anion corrections**: 0.616 eV/atom
**VASP energy**: -28.9 eV/cell
**Symmetry**: No. 123
**Excess energy over the best structure of this formula in the dataset**: 570 meV/atom

Unit cell a=5.0254 b=5.0254 c=4.8873 alpha=90.00 beta=90.00 gamma=90.00
Closest atoms and distances in Å follow each position.
Positions (direct):
Zr 0.0000 0.0000 0.0000  2 S 2.44, 4 P 2.51
Fe 0.5000 0.5000 0.5000  8 P 3.50, 4 S 3.55
P 0.0000 0.5000 0.0000  2 Zr 2.51
P 0.5000 0.0000 0.0000  2 Zr 2.51
S 0.0000 0.0000 0.5000  2 Zr 2.44